CaAc2PmPr, relaxed, DFT PBE; M_tot = 0.00 μB per cell; symmetry = P2/c, No. 13; formation enthalpy at 0 K = 0.318 eV per atom; DFT total energy = -3.63 eV/atom
1.0
-2.856 2.126 5.484
-2.608 -9.641 2.379
5.897 0.970 2.695
Ac Ca Pr Pm
4 2 2 2
Direct
0.721 0.311 0.669
0.721 0.689 0.831
0.279 0.689 0.331
0.279 0.311 0.169
0.512 0.000 0.250
0.488 0.000 0.750
0.000 0.000 0.500
0.000 0.000 0.000
0.193 0.500 0.750
0.807 0.500 0.250